VASP calculation (PBE) on a geometry-optimized BaCaCeSnO6 structure.

a = 6.060 Å, b = 6.060 Å, c = 6.060 Å
α = 60.00°, β = 60.00°, γ = 60.00°
Atoms (fractional coordinates):
Ba1 0.250 0.250 0.250
Ca1 0.750 0.750 0.750
Ce1 0.000 0.000 0.000
Sn1 0.500 0.500 0.500
O1 0.258 0.742 0.258
O2 0.742 0.258 0.742
O3 0.258 0.742 0.742
O4 0.742 0.258 0.258
O5 0.258 0.258 0.742
O6 0.742 0.742 0.258

## Properties
Energy relative to the lowest polymorph listed for this composition ... 0.82 eV per formula unit
Total energy ... -6.95 eV/atom
Formation energy (no corrections) ... -250.0 kJ/mol of atoms